Material: CrAsPt2
Method: DFT, PBE
State: relaxed

The space group is I-42d (No. 122) and the conventional cell measures 5.6232, 5.6232 and 10.7023 Å, with angles of 90.00, 90.00 and 90.00 degrees. The inequivalent atoms are Cr at (0.0000, 0.0000, 0.0000), As at (0.0000, 0.0000, 0.5000) and Pt at (0.2363, 0.2500, 0.1250).

Its final energy is -6.1957 eV per atom. The value obtained for the total magnetization is 0.000 Bohr magnetons per cell.